(1)
First-principles (PBE-GGA) data for a geometry-optimized Y3Ag4Ge4 structure, as listed in the Alexandria database.

a b c (Å): 4.3440 7.1578 14.5086
angles (deg): 90.00 90.00 90.00
Last column: nearest neighbours and their distance in Å.
Space group Immm (No. 71)
One atom of each set of equivalent atoms:
Y 0.0000 0.0000 0.0000 (multiplicity 2)  6 Ge 3.14
Y 0.0000 0.5000 0.1258 (multiplicity 4)  6 Ge 3.13-3.15, 6 Ag 3.13-3.29
Ag 0.0000 0.3026 0.3304 (multiplicity 8)  4 Ge 2.60-2.72, 1 Ag 2.83
Ge 0.0000 0.0000 0.2166 (multiplicity 4)  6 Ag 2.68-2.72
Ge 0.0000 0.1832 0.5000 (multiplicity 4)  2 Ag 2.60, 1 Ge 2.62


(2)
First-principles (PBE-GGA) data for a geometry-optimized La3RuAu structure, as listed in the Alexandria database.

a b c (Å): 14.1371 14.1371 14.1371
angles (deg): 90.00 90.00 90.00
Last column: nearest neighbours and their distance in Å.
Space group Fd-3m (No. 227, origin choice 2)
One atom of each set of equivalent atoms:
La 0.0892 0.3750 0.3750 (multiplicity 48)  2 Ru 2.80
Ru 0.0000 0.0000 0.0000 (multiplicity 16)  6 La 2.80
Au 0.0000 0.0000 0.5000 (multiplicity 16)  6 La 3.38

Properties
* polymorph energy (0 for the lowest one): 6.92 kcal/mol of atoms


Calculated formation energy across the listed records, respectively: -51.05, -18.05 kJ/mol of atoms.
Calculated total energy across the listed records, respectively: -5.008, -5.654 eV per atom.